1.
# MgAg2SbO4

A geometry-optimized MgAg2SbO4 structure (PBE-GGA, the Alexandria database).

Properties
The value obtained for the calculated total energy is -40.08 eV for the cell shown. As for the space group: No. 82. The magnetic moment comes out at 0.000 μB per atom. The theoretical density comes out at 5.53 g cm⁻³.

Cell: 5.256 5.261 5.932 Å, 116.34 116.31 89.99°
Atoms (fractional coordinates):
1 Ag 0.486 0.986 0.972
2 O 0.859 0.436 0.223
3 O 0.364 0.787 0.223
4 Mg 0.986 0.486 0.971
5 O 0.685 0.613 0.720
6 O 0.036 0.107 0.720
7 Ag 0.236 0.236 0.472
8 Sb 0.736 0.736 0.472



2.
# Mg2AgSbO6

A geometry-optimized Mg2AgSbO6 structure (PBE-GGA, the Alexandria database).

Properties
The value obtained for the calculated total energy is -109.70 eV for the cell shown. As for the space group: No. 11. The magnetic moment comes out at 0.000 μB per atom. The theoretical density comes out at 5.32 g cm⁻³.

Cell: 7.591 5.551 5.620 Å, 80.93 90.00 90.00°
Atoms (fractional coordinates):
1 O 0.070 0.882 0.207
2 Mg 0.750 0.485 0.560
3 Sb 0.500 0.000 0.500
4 O 0.943 0.347 0.347
5 O 0.570 0.118 0.793
6 Mg 0.250 0.057 0.978
7 Mg 0.250 0.515 0.440
8 Ag 0.000 0.500 0.000
9 O 0.557 0.347 0.347
10 Sb 0.000 0.000 0.500
11 O 0.250 0.122 0.595
12 O 0.750 0.614 0.898
13 O 0.250 0.386 0.102
14 Ag 0.500 0.500 0.000
15 O 0.750 0.878 0.405
16 O 0.930 0.118 0.793
17 O 0.430 0.882 0.207
18 O 0.443 0.653 0.653
19 Mg 0.750 0.943 0.022
20 O 0.057 0.653 0.653



What is the formula in the first record?
MgAg2SbO4